TeRuSe2N after structural relaxation. Source: Alexandria, functional GGA-PBEsol.

Computed properties:
M_tot ... 2.99 μB/cell
Fermi-level density of states ... 7.56 states/eV/cell
ΔE_f (raw) ... 1.572 eV per atom

Unit cell a=5.266 b=5.266 c=3.824 alpha=90.00 beta=90.00 gamma=90.00
Fractional positions:
1 Te 0.000 0.000 0.000
2 Ru 0.500 0.500 0.500
3 Se 0.000 0.500 0.000
4 Se 0.500 0.000 0.000
5 N 0.000 0.000 0.500